No. 1
## K3Er2ThSe6 (GGA-PBE)

Data for a relaxed structure of K3Er2ThSe6.

a = 7.2762 Å, b = 12.6047 Å, c = 8.0970 Å
α = 90.00°, β = 107.44°, γ = 90.00°
Space group C2/m (No. 12)
Inequivalent atoms, fractional coordinates:
K 0.0000 0.0000 0.0000 x2
K 0.0000 0.3339 0.0000 x4
Er 0.0000 0.1667 0.5000 x4
Th 0.0000 0.5000 0.5000 x2
Se 0.2303 0.0000 0.7083 x4
Se 0.2390 0.3304 0.7083 x8

Results
uncorrected formation energy	-1.67	eV per atom
magnetic moment	0.0	μB/cell

---

No. 2
## Li2NdDy2Pb2 (GGA-PBE)

Data for a relaxed structure of Li2NdDy2Pb2.

a = 4.8729 Å, b = 4.8729 Å, c = 27.0981 Å
α = 90.00°, β = 90.00°, γ = 120.00°
Space group R-3m (No. 166, hexagonal axes)
Inequivalent atoms, fractional coordinates:
Li 0.0000 0.0000 0.0893 x6
Nd 0.0000 0.0000 0.5000 x3
Dy 0.0000 0.0000 0.3697 x6
Pb 0.0000 0.0000 0.2387 x6

Results
E_form	-331	meV/atom
magnetic moment	0.0	μB/cell

---

No. 3
## V4Cr2B (GGA-PBE)

Data for a relaxed structure of V4Cr2B.

a = 4.0063 Å, b = 4.0063 Å, c = 11.5182 Å
α = 90.00°, β = 90.00°, γ = 90.00°
Space group I4/mmm (No. 139)
Inequivalent atoms, fractional coordinates:
V 0.0000 0.0000 0.1853 x4
V 0.0000 0.5000 0.0000 x4
Cr 0.0000 0.0000 0.3720 x4
B 0.0000 0.0000 0.0000 x2

Results
E_form	471	meV/atom
magnetic moment	0.0	μB/cell

---

No. 4
## LaMg2Co (GGA-PBE)

Data for a relaxed structure of LaMg2Co.

a = 3.1302 Å, b = 4.8095 Å, c = 5.5868 Å
α = 90.00°, β = 90.00°, γ = 90.00°
Space group Pmmm (No. 47)
Inequivalent atoms, fractional coordinates:
La 0.0000 0.0000 0.0000 x1
Mg 0.5000 0.5000 0.2724 x2
Co 0.0000 0.0000 0.5000 x1

Results
E_form	273	meV/atom
magnetic moment	0.0	μB/cell

---

No. 5
## Y2PPt (GGA-PBE)

Data for a relaxed structure of Y2PPt.

a = 7.2960 Å, b = 7.2960 Å, c = 7.6210 Å
α = 90.00°, β = 90.00°, γ = 90.00°
Space group I-42d (No. 122)
Inequivalent atoms, fractional coordinates:
Y 0.2430 0.7500 0.1250 x8
P 0.0000 0.0000 0.0000 x4
Pt 0.0000 0.0000 0.5000 x4

Results
E_form	-888	meV/atom
magnetic moment	0.0	μB/cell